Material: Na2TlBiPt
Method: DFT, PBE
State: optimized geometry

Computed properties:
Total magnetic moment: 0.00 μB per formula unit
Mass density: 6.88 g cm⁻³
DFT total energy: -3.086 eV/atom
ΔE_f: -49 kJ/mol of formula units
N(E_F): 0.367 states/eV per atom

Cell: 5.5493 5.5493 5.1295 Å, 90.00 90.00 90.00°
Last column: nearest neighbours and their distance in Å.
Element x y z (fractional)
Bi (0.0000, 0.0000, 0.5000)  2 Pt 2.56
Na (0.5000, 0.0000, 0.0000)  2 Pt 2.77
Na (0.0000, 0.5000, 0.0000)  2 Pt 2.77
Pt (0.0000, 0.0000, 0.0000)  2 Bi 2.56, 4 Na 2.77
Tl (0.5000, 0.5000, 0.5000)  8 Na 3.78, 4 Bi 3.92